(1)
Here is an optimized crystal structure of GaCuN2Cl from Alexandria. Energies are from PBEsol.

Values from the calculation:
- total energy (eV/atom) = -4.2289
- ρ (g/cm³) = 4.3
- Fermi-level density of states (states/eV/f.u.) = 3.63
- V (Å³/cell) = 76.2
- formation energy from raw total energies (eV per atom) = 1.12

a = 3.666 Å, b = 3.666 Å, c = 5.669 Å
α = 90.00°, β = 90.00°, γ = 90.00°
Fractional coordinates of all 5 atoms:
1 Ga 0.000 0.000 0.000
2 Cu 0.500 0.500 0.500
3 N 0.000 0.500 0.000
4 N 0.500 0.000 0.000
5 Cl 0.000 0.000 0.500

(2)
Here is an optimized crystal structure of HfAsN2 from Alexandria. Energies are from PBEsol.

Values from the calculation:
- total energy (eV/atom) = -8.4618
- ρ (g/cm³) = 7.8
- Fermi-level density of states (states/eV/f.u.) = 1.55
- V (Å³/cell) = 240.4
- formation energy from raw total energies (eV per atom) = -0.30

a = 4.925 Å, b = 4.925 Å, c = 9.908 Å
α = 90.00°, β = 90.00°, γ = 90.00°
Fractional coordinates of all 16 atoms:
1 Hf 0.000 0.000 0.000
2 Hf 0.000 0.500 0.250
3 Hf 0.500 0.000 0.750
4 Hf 0.500 0.500 0.500
5 As 0.000 0.000 0.500
6 As 0.000 0.500 0.750
7 As 0.500 0.000 0.250
8 As 0.500 0.500 0.000
9 N 0.224 0.250 0.125
10 N 0.250 0.724 0.375
11 N 0.250 0.776 0.875
12 N 0.276 0.250 0.625
13 N 0.724 0.750 0.625
14 N 0.750 0.224 0.875
15 N 0.750 0.276 0.375
16 N 0.776 0.750 0.125

(3)
Here is an optimized crystal structure of KCaCo from Alexandria. Energies are from PBEsol.

Values from the calculation:
- total energy (eV/atom) = -2.8165
- ρ (g/cm³) = 2.4
- Fermi-level density of states (states/eV/f.u.) = 4.56
- V (Å³/cell) = 94.9
- energy relative to the elements (eV per atom) = 0.8514

a = 3.709 Å, b = 3.709 Å, c = 7.964 Å
α = 90.00°, β = 90.00°, γ = 120.00°
Fractional coordinates of all 3 atoms:
1 K 0.000 0.000 0.000
2 Ca 0.333 0.667 0.513
3 Co 0.667 0.333 0.293

Q: Look up the total energy of the third one.
A: -2.8165 eV/atom